Entry 1:
Here is a relaxed AgWSe2 crystal from Alexandria. Energies are from PBE-GGA.

Properties
ΔE_f (raw) in kJ/mol of formula units: 70
Calculated volume in A^3/atom: 23.704
Magnetic moment in μB per cell: 0.00

a = 6.8382 Å, b = 6.8382 Å, c = 6.8382 Å
α = 153.84°, β = 137.52°, γ = 50.57°
Last column: nearest neighbours and their distance in Å.
Element x y z (fractional)
Ag  0.0000  0.0000  0.0000  4 W 2.92, 2 Ag 3.10, 4 Se 3.15
W  0.5000  0.5000  0.0000  4 Se 2.49
Se  0.3420  0.8420  0.5000  2 W 2.49
Se  0.6580  0.1580  0.5000  2 W 2.49

Entry 2:
Here is a relaxed Ag2WSe crystal from Alexandria. Energies are from PBE-GGA.

Properties
ΔE_f (raw) in kJ/mol of formula units: 302
Calculated volume in A^3/atom: 17.258
Magnetic moment in μB per cell: 0.27

a = 4.6045 Å, b = 4.6045 Å, c = 4.6045 Å
α = 60.00°, β = 60.00°, γ = 60.00°
Last column: nearest neighbours and their distance in Å.
Element x y z (fractional)
Ag  0.0000  0.0000  0.0000  4 W 2.82, 4 Ag 2.82
Ag  0.2500  0.2500  0.2500  4 Se 2.82, 4 Ag 2.82
W  0.7500  0.7500  0.7500  4 Se 2.82, 4 Ag 2.82
Se  0.5000  0.5000  0.5000  4 W 2.82, 4 Ag 2.82

Entry 3:
Here is a relaxed AgW2Se crystal from Alexandria. Energies are from PBE-GGA.

Properties
ΔE_f (raw) in kJ/mol of formula units: 238
Calculated volume in A^3/atom: 17.360
Magnetic moment in μB per cell: 0.00

a = 2.9381 Å, b = 4.5482 Å, c = 5.3941 Å
α = 90.00°, β = 105.56°, γ = 90.00°
Last column: nearest neighbours and their distance in Å.
Element x y z (fractional)
Ag  0.0000  0.0000  0.0000  3 W 2.68-2.92, 2 Ag 2.94
W  0.3433  0.5000  0.6881  2 Se 2.58
W  0.7341  0.0000  0.4840  2 Se 2.51, 1 Ag 2.68
Se  0.6419  0.5000  0.2794  4 W 2.51-2.58

Entry 4:
Here is a relaxed AgWSe2 crystal from Alexandria. Energies are from PBE-GGA.

Properties
ΔE_f (raw) in kJ/mol of formula units: 144
Calculated volume in A^3/atom: 20.011
Magnetic moment in μB per cell: 0.00

a = 2.8872 Å, b = 2.8872 Å, c = 10.2227 Å
α = 90.00°, β = 90.00°, γ = 110.06°
Last column: nearest neighbours and their distance in Å.
Element x y z (fractional)
Ag  0.0000  0.0000  0.0000  2 Se 2.88, 4 Ag 2.89, 2 W 2.90
W  0.5000  0.5000  0.2332  2 Se 2.54
Se  0.0000  0.0000  0.4222  2 W 2.54
Se  0.5000  0.5000  0.7698  2 Ag 2.88, 4 Se 2.89